1.
Rb3Ce2I9: relaxed, GGA-PBE.

Cell: 11.262 11.262 11.262 Å, 84.86 84.86 84.86°
Each line ends with the local moment (μB).
Fractional positions:
I: 0.250 0.408 0.092  -0.01
I: 0.592 0.908 0.750  -0.01
I: 0.084 0.723 0.937  -0.01
I: 0.584 0.437 0.223  -0.01
I: 0.777 0.416 0.563  -0.01
I: 0.408 0.092 0.250  -0.01
I: 0.416 0.563 0.777  -0.01
I: 0.916 0.277 0.063  -0.01
I: 0.063 0.916 0.277  -0.01
I: 0.750 0.592 0.908  -0.01
I: 0.437 0.223 0.584  -0.01
I: 0.223 0.584 0.437  -0.01
I: 0.092 0.250 0.408  -0.01
I: 0.563 0.777 0.416  -0.01
I: 0.908 0.750 0.592  -0.01
I: 0.937 0.084 0.723  -0.01
I: 0.277 0.063 0.916  -0.01
I: 0.723 0.937 0.084  -0.01
Rb: 0.445 0.750 0.055  0.00
Rb: 0.555 0.250 0.945  0.00
Rb: 0.945 0.555 0.250  0.00
Rb: 0.250 0.945 0.555  0.00
Rb: 0.750 0.055 0.445  0.00
Rb: 0.055 0.445 0.750  0.00
Ce: 0.852 0.852 0.852  0.99
Ce: 0.648 0.648 0.648  0.99
Ce: 0.352 0.352 0.352  0.99
Ce: 0.148 0.148 0.148  0.99

Summary:
The calculation puts the raw total energy at -96.64 eV/cell. The value obtained for the theoretical density is 3.9 Mg/m³. The space group is No. 167.

2.
Rb2CeI4: relaxed, GGA-PBE.

Cell: 8.860 8.860 7.879 Å, 124.21 124.21 90.00°
Each line ends with the local moment (μB).
Fractional positions:
I: 0.236 0.236 0.973  -0.01
I: 0.737 0.737 0.973  -0.01
I: 0.764 0.263 0.027  -0.01
I: 0.263 0.764 0.027  -0.01
Rb: 0.250 0.750 0.500  0.00
Rb: 0.750 0.250 0.500  0.00
Ce: 0.500 0.500 0.000  1.41

Summary:
The offset from the most stable computed form is 54.1 kJ/mol of formula units. The calculation puts the raw total energy at -22.45 eV/cell. The value obtained for the theoretical density is 3.6 Mg/m³. The space group is No. 121.

3.
Rb4Ce6I19: relaxed, GGA-PBE.

Cell: 12.213 12.213 12.213 Å, 109.47 109.47 109.47°
Each line ends with the local moment (μB).
Fractional positions:
I: 0.968 0.742 0.337  -0.01
I: 0.662 0.000 0.662  -0.01
I: 0.032 0.369 0.775  -0.01
I: 0.631 0.663 0.405  -0.01
I: 0.775 0.032 0.369  -0.01
I: 0.662 0.662 0.000  -0.01
I: 0.000 0.662 0.662  -0.01
I: 0.405 0.631 0.663  -0.01
I: 0.595 0.258 0.225  -0.01
I: 0.337 0.968 0.742  -0.01
I: 0.742 0.337 0.968  -0.01
I: 0.225 0.595 0.258  -0.01
I: 0.000 0.000 0.000  0.00
I: 0.000 0.338 0.338  -0.01
I: 0.338 0.000 0.338  -0.01
I: 0.663 0.405 0.631  -0.01
I: 0.258 0.225 0.595  -0.01
I: 0.338 0.338 0.000  -0.01
I: 0.369 0.775 0.032  -0.01
Rb: 0.000 0.695 0.000  0.00
Rb: 0.695 0.000 0.000  0.00
Rb: 0.305 0.305 0.305  0.00
Rb: 0.000 0.000 0.695  0.00
Ce: 0.344 0.500 0.844  1.29
Ce: 0.844 0.344 0.500  1.29
Ce: 0.500 0.156 0.656  1.29
Ce: 0.156 0.656 0.500  1.29
Ce: 0.500 0.844 0.344  1.29
Ce: 0.656 0.500 0.156  1.29

Summary:
The calculation puts the raw total energy at -107.76 eV/cell. The value obtained for the theoretical density is 4.3 Mg/m³. The space group is No. 197.

4.
RbCeI3: relaxed, GGA-PBE.

Cell: 4.527 10.507 18.157 Å, 90.00 90.00 90.00°
Each line ends with the local moment (μB).
Fractional positions:
I: 0.750 0.225 0.296  0.00
I: 0.750 0.451 0.624  -0.01
I: 0.750 0.951 0.876  -0.01
I: 0.250 0.549 0.376  -0.01
I: 0.250 0.167 0.506  0.00
I: 0.750 0.833 0.494  0.00
I: 0.250 0.275 0.796  0.00
I: 0.250 0.775 0.704  0.00
I: 0.250 0.667 0.994  0.00
I: 0.250 0.049 0.124  -0.01
I: 0.750 0.725 0.204  0.00
I: 0.750 0.333 0.006  0.00
Rb: 0.250 0.436 0.173  0.00
Rb: 0.750 0.564 0.827  0.00
Rb: 0.250 0.936 0.327  0.00
Rb: 0.750 0.064 0.673  0.00
Ce: 0.750 0.871 0.047  1.40
Ce: 0.750 0.371 0.453  1.40
Ce: 0.250 0.129 0.953  1.40
Ce: 0.250 0.629 0.547  1.40

Summary:
The offset from the most stable computed form is 0.0 kJ/mol of formula units. The calculation puts the raw total energy at -72.68 eV/cell. The value obtained for the theoretical density is 4.7 Mg/m³. The space group is No. 62.

5.
RbCe3I8: relaxed, GGA-PBE.

Cell: 9.461 9.456 9.582 Å, 120.43 90.00 120.01°
Each line ends with the local moment (μB).
Fractional positions:
I: 0.735 0.470 0.757  -0.01
I: 0.280 0.015 0.757  -0.01
I: 0.747 0.494 0.234  -0.01
I: 0.253 0.506 0.766  -0.01
I: 0.720 0.985 0.243  -0.01
I: 0.265 0.530 0.243  -0.01
I: 0.735 0.015 0.757  -0.01
I: 0.265 0.985 0.243  -0.01
Ce: 0.500 0.500 0.000  1.35
Ce: 0.500 0.000 0.000  1.36
Ce: 0.000 0.500 0.000  1.35
Rb: 0.000 0.000 0.000  0.00

Summary:
The calculation puts the raw total energy at -46.51 eV/cell. The value obtained for the theoretical density is 4.2 Mg/m³. The space group is No. 12.

6.
Rb2CeSe2I2: relaxed, GGA-PBE.

Cell: 5.596 5.596 10.185 Å, 105.95 105.95 90.00°
Each line ends with the local moment (μB).
Fractional positions:
Rb: 0.629 0.629 0.257  0.00
Rb: 0.371 0.371 0.743  0.00
Se: 0.000 0.500 0.000  -0.02
Se: 0.500 0.000 0.000  -0.02
I: 0.832 0.832 0.664  0.00
I: 0.168 0.168 0.336  0.00
Ce: 0.000 0.000 0.000  0.23

Summary:
The calculation puts the raw total energy at -28.32 eV/cell. The value obtained for the theoretical density is 4.1 Mg/m³. The space group is No. 139.

7.
RbCeSn2I8: relaxed, GGA-PBE.

Cell: 7.909 7.442 9.761 Å, 89.86 89.88 89.03°
Each line ends with the local moment (μB).
Fractional positions:
I: 0.840 0.259 0.778  -0.01
I: 0.160 0.741 0.222  -0.01
I: 0.669 0.757 0.000  -0.01
I: 0.839 0.258 0.221  -0.01
I: 0.331 0.243 0.000  -0.01
I: 0.377 0.269 0.501  0.00
I: 0.161 0.742 0.779  -0.01
I: 0.623 0.731 0.499  0.00
Sn: 0.500 0.500 0.748  0.00
Sn: 0.500 0.500 0.252  0.00
Ce: 0.000 0.000 0.000  0.99
Rb: 0.000 0.000 0.500  0.00

Summary:
The calculation puts the raw total energy at -38.20 eV/cell. The value obtained for the theoretical density is 4.3 Mg/m³. The space group is No. 2.

8.
Rb2SrCeI8: relaxed, GGA-PBE.

Cell: 8.464 7.795 9.903 Å, 89.98 90.00 92.37°
Each line ends with the local moment (μB).
Fractional positions:
Ce: 0.000 0.000 0.000  0.17
Rb: 0.500 0.501 0.251  0.00
Rb: 0.500 0.499 0.749  0.00
I: 0.880 0.231 0.775  -0.01
I: 0.879 0.230 0.225  -0.01
I: 0.319 0.229 0.499  0.00
I: 0.681 0.771 0.501  0.00
I: 0.120 0.769 0.225  -0.01
I: 0.313 0.197 0.001  -0.01
I: 0.121 0.770 0.775  -0.01
I: 0.687 0.803 0.999  -0.01
Sr: 0.000 0.000 0.500  0.00

Summary:
The calculation puts the raw total energy at -38.35 eV/cell. The value obtained for the theoretical density is 3.6 Mg/m³. The space group is No. 2.

9.
RbSr2CeI8: relaxed, GGA-PBE.

Cell: 7.939 7.533 10.134 Å, 89.97 89.98 89.87°
Each line ends with the local moment (μB).
Fractional positions:
Sr: 0.500 0.500 0.748  0.00
Sr: 0.500 0.500 0.252  0.00
I: 0.841 0.245 0.216  -0.01
I: 0.629 0.737 0.500  0.00
I: 0.841 0.246 0.784  -0.01
I: 0.371 0.263 0.500  0.00
I: 0.159 0.754 0.216  -0.01
I: 0.159 0.755 0.784  -0.01
I: 0.669 0.747 0.000  0.00
I: 0.331 0.253 0.000  0.00
Rb: 0.000 0.000 0.500  0.00
Ce: 0.000 0.000 0.000  1.00

Summary:
The calculation puts the raw total energy at -40.87 eV/cell. The value obtained for the theoretical density is 3.9 Mg/m³. The space group is No. 10.

10.
Rb2CeTlI6: relaxed, GGA-PBE.

Cell: 8.601 9.285 12.501 Å, 90.00 88.88 90.00°
Each line ends with the local moment (μB).
Fractional positions:
I: 0.201 0.179 0.443  -0.01
I: 0.701 0.321 0.943  -0.01
I: 0.799 0.821 0.557  -0.01
I: 0.669 0.289 0.565  -0.01
I: 0.625 0.039 0.263  -0.01
I: 0.299 0.679 0.057  -0.01
I: 0.125 0.461 0.763  -0.01
I: 0.831 0.789 0.935  -0.01
I: 0.169 0.211 0.065  -0.01
I: 0.375 0.961 0.737  -0.01
I: 0.875 0.539 0.237  -0.01
I: 0.331 0.711 0.435  -0.01
Rb: 0.964 0.089 0.748  0.00
Rb: 0.464 0.411 0.248  0.00
Rb: 0.036 0.911 0.252  0.00
Rb: 0.536 0.589 0.752  0.00
Ce: 0.500 0.000 0.500  0.99
Ce: 0.000 0.500 0.000  0.99
Tl: 0.500 0.000 0.000  0.00
Tl: 0.000 0.500 0.500  0.00

Summary:
The calculation puts the raw total energy at -64.82 eV/cell. The value obtained for the theoretical density is 4.2 Mg/m³. The space group is No. 14.

11.
RbCeTl2I8: relaxed, GGA-PBE.

Cell: 8.520 6.675 10.419 Å, 69.68 92.77 95.72°
Each line ends with the local moment (μB).
Fractional positions:
I: 0.042 0.626 0.268  -0.01
I: 0.720 0.775 0.899  -0.01
I: 0.501 0.749 0.507  0.00
I: 0.280 0.225 0.101  -0.01
I: 0.232 0.853 0.849  -0.01
I: 0.499 0.251 0.493  0.00
I: 0.958 0.374 0.732  -0.01
I: 0.768 0.147 0.151  -0.01
Ce: 0.000 0.000 0.000  0.17
Rb: 0.000 0.000 0.500  0.00
Tl: 0.547 0.294 0.811  0.00
Tl: 0.453 0.706 0.189  0.00

Summary:
The calculation puts the raw total energy at -35.30 eV/cell. The value obtained for the theoretical density is 5.0 Mg/m³. The space group is No. 2.

12.
Ce2RhI: relaxed, GGA-PBE.

Cell: 4.079 4.079 8.494 Å, 76.11 76.11 60.00°
Each line ends with the local moment (μB).
Fractional positions:
Ce: 0.270 0.270 0.191  0.89
Ce: 0.063 0.063 0.810  0.84
I: 0.499 0.499 0.502  -0.01
Rh: 0.667 0.667 0.998  -0.09

Summary:
The offset from the most stable computed form is 2.7 kJ/mol of formula units. The calculation puts the raw total energy at -24.10 eV/cell. The value obtained for the theoretical density is 7.2 Mg/m³. The space group is No. 160.